(1)
# TcRuW2

Crystalline TcRuW2 at its relaxed geometry (GGA-PBE, Alexandria via LeMat-Bulk).

Its space group is Fm-3m, No. 225. The distance to the lowest polymorph of the same formula comes out at 0.110 eV/atom. For the density of states at the Fermi level, the calculation gives 1.928 states/eV/atom.

a b c (Å): 4.424 4.424 4.424
angles (deg): 60.00 60.00 60.00
Element x y z (fractional)
W (0.250, 0.250, 0.250)
Ru (0.500, 0.500, 0.500)
W (0.750, 0.750, 0.750)
Tc (0.000, 0.000, 0.000)



(2)
# TcRuW2

Crystalline TcRuW2 at its relaxed geometry (GGA-PBE, Alexandria via LeMat-Bulk).

Its space group is P4/mmm, No. 123. The distance to the lowest polymorph of the same formula comes out at 0.001 eV/atom. For the density of states at the Fermi level, the calculation gives 1.074 states/eV/atom.

a b c (Å): 3.889 3.961 3.961
angles (deg): 90.00 90.00 90.00
Element x y z (fractional)
W (0.000, 0.500, 0.500)
W (0.000, 0.000, 0.000)
Tc (0.500, 0.000, 0.500)
Ru (0.500, 0.500, 0.000)



(3)
# TcRu2W

Crystalline TcRu2W at its relaxed geometry (GGA-PBE, Alexandria via LeMat-Bulk).

Its space group is I-42d, No. 122. The distance to the lowest polymorph of the same formula comes out at 1.370 eV/atom. For the density of states at the Fermi level, the calculation gives 1.311 states/eV/atom.

a b c (Å): 5.549 5.549 6.865
angles (deg): 66.16 66.16 90.00
Element x y z (fractional)
Ru (0.133, 0.625, 0.250)
Tc (0.250, 0.750, 0.500)
Ru (0.617, 0.125, 0.250)
W (0.000, 0.000, 0.000)
Tc (0.500, 0.500, 0.000)
Ru (0.875, 0.867, 0.750)
W (0.750, 0.250, 0.500)
Ru (0.375, 0.383, 0.750)



(4)
# Tc2Ru5W

Crystalline Tc2Ru5W at its relaxed geometry (GGA-PBE, Alexandria via LeMat-Bulk).

Its space group is Fmm2, No. 42. For the density of states at the Fermi level, the calculation gives 0.621 states/eV/atom.

a b c (Å): 5.456 5.456 5.455
angles (deg): 119.88 119.88 90.23
Element x y z (fractional)
Ru (0.278, 0.779, 0.000)
Ru (0.777, 0.278, 0.000)
Ru (0.283, 0.273, 0.000)
Tc (0.774, 0.277, 0.495)
W (0.777, 0.779, 0.000)
Tc (0.279, 0.782, 0.505)
Ru (0.778, 0.778, 0.500)
Ru (0.278, 0.278, 0.500)



(5)
# Tc2RuW

Crystalline Tc2RuW at its relaxed geometry (GGA-PBE, Alexandria via LeMat-Bulk).

Its space group is R3m, No. 160. The distance to the lowest polymorph of the same formula comes out at 0.213 eV/atom. For the density of states at the Fermi level, the calculation gives 0.541 states/eV/atom.

a b c (Å): 4.371 4.371 4.490
angles (deg): 60.87 60.87 60.00
Element x y z (fractional)
Tc (0.250, 0.250, 0.250)
Tc (0.025, 0.025, 0.924)
W (0.499, 0.499, 0.502)
Ru (0.725, 0.725, 0.824)



(6)
# Tc2RuW

Crystalline Tc2RuW at its relaxed geometry (GGA-PBE, Alexandria via LeMat-Bulk).

Its space group is R-3m, No. 166. The distance to the lowest polymorph of the same formula comes out at 0.109 eV/atom. For the density of states at the Fermi level, the calculation gives 1.472 states/eV/atom.

a b c (Å): 9.221 9.221 9.221
angles (deg): 17.18 17.18 17.18
Element x y z (fractional)
Tc (0.003, 0.003, 0.003)
Tc (0.497, 0.497, 0.497)
W (0.250, 0.250, 0.250)
Ru (0.750, 0.750, 0.750)



(7)
# TcRuW2

Crystalline TcRuW2 at its relaxed geometry (GGA-PBE, Alexandria via LeMat-Bulk).

Its space group is Cmm2, No. 35. The distance to the lowest polymorph of the same formula comes out at 0.029 eV/atom. For the density of states at the Fermi level, the calculation gives 0.593 states/eV/atom.

a b c (Å): 2.728 2.728 8.346
angles (deg): 90.00 90.00 98.47
Element x y z (fractional)
W (0.000, 0.000, 0.993)
Tc (0.500, 0.500, 0.732)
Ru (0.000, 0.000, 0.511)
W (0.500, 0.500, 0.263)



(8)
# TcRuW

Crystalline TcRuW at its relaxed geometry (GGA-PBE, Alexandria via LeMat-Bulk).

Its space group is P3_212, No. 153. The distance to the lowest polymorph of the same formula comes out at 0.050 eV/atom. For the density of states at the Fermi level, the calculation gives 1.043 states/eV/atom.

a b c (Å): 4.802 4.802 6.742
angles (deg): 90.00 90.00 120.00
Element x y z (fractional)
Tc (0.215, 0.430, 0.833)
Ru (0.228, 0.114, 0.500)
W (0.544, 0.088, 0.833)
Tc (0.215, 0.785, 0.167)
W (0.544, 0.456, 0.167)
Ru (0.886, 0.114, 0.167)
W (0.912, 0.456, 0.500)
Tc (0.570, 0.785, 0.500)
Ru (0.886, 0.772, 0.833)



(9)
# TcRuW2

Crystalline TcRuW2 at its relaxed geometry (GGA-PBE, Alexandria via LeMat-Bulk).

Its space group is Pmm2, No. 25. The distance to the lowest polymorph of the same formula comes out at 0.055 eV/atom. For the density of states at the Fermi level, the calculation gives 1.099 states/eV/atom.

a b c (Å): 2.765 3.945 5.619
angles (deg): 90.00 90.00 90.00
Element x y z (fractional)
W (0.500, 0.500, 0.263)
W (0.000, 0.000, 0.990)
Ru (0.000, 0.000, 0.500)
Tc (0.500, 0.500, 0.748)



(10)
# TcRuW

Crystalline TcRuW at its relaxed geometry (GGA-PBE, Alexandria via LeMat-Bulk).

Its space group is Imm2, No. 44. The distance to the lowest polymorph of the same formula comes out at 0.057 eV/atom. For the density of states at the Fermi level, the calculation gives 0.982 states/eV/atom.

a b c (Å): 4.817 4.817 4.817
angles (deg): 146.90 132.15 59.42
Element x y z (fractional)
Ru (0.998, 0.998, 0.000)
Tc (0.337, 0.337, 0.000)
W (0.666, 0.666, 0.000)



(11)
# TcRuW2

Crystalline TcRuW2 at its relaxed geometry (GGA-PBE, Alexandria via LeMat-Bulk).

Its space group is P2/m, No. 10. The distance to the lowest polymorph of the same formula comes out at 0.051 eV/atom. For the density of states at the Fermi level, the calculation gives 1.048 states/eV/atom.

a b c (Å): 4.369 2.726 5.209
angles (deg): 81.07 90.00 90.00
Element x y z (fractional)
Tc (0.500, 0.750, 0.750)
W (0.000, 0.977, 0.001)
W (0.000, 0.523, 0.499)
Ru (0.500, 0.250, 0.250)



(12)
# TcRu2W

Crystalline TcRu2W at its relaxed geometry (GGA-PBE, Alexandria via LeMat-Bulk).

Its space group is Pmmm, No. 47. The distance to the lowest polymorph of the same formula comes out at 0.013 eV/atom. For the density of states at the Fermi level, the calculation gives 1.028 states/eV/atom.

a b c (Å): 2.757 3.848 5.521
angles (deg): 90.00 90.00 90.00
Element x y z (fractional)
Ru (0.000, 0.000, 0.494)
Ru (0.000, 0.000, 0.006)
Tc (0.500, 0.500, 0.250)
W (0.500, 0.500, 0.750)



no.,calculated formation energy (eV/f.u.)
1,0.92
2,0.49
3,5.54
4,0.33
5,1.08
6,0.66
7,0.60
8,0.32
9,0.71
10,0.34
11,0.69
12,0.11